This record from Alexandria describes KRb2TeF after structural relaxation. The functional is PBE.

Computed properties:
- SG: P4/mmm
- Raw formation energy: -38.9 kcal/mol of atoms

a b c (Å): 5.564 5.564 5.413
angles (deg): 90.00 90.00 90.00
Element x y z (fractional)
1 K 0.000 0.000 0.500
2 Te 0.500 0.500 0.500
3 Rb 0.000 0.500 0.000
4 Rb 0.500 0.000 0.000
5 F 0.000 0.000 0.000